1.
Here is an optimized crystal structure of ZrScGa4 from Alexandria via LeMat-Bulk. Energies are from PBE.

POSCAR file:
```
ZrScGa4
1.0
0.000 3.743 3.743
3.743 0.000 3.743
3.743 3.743 0.000
Zr Sc Ga
1 1 4
Cartesian
0.000 0.000 0.000 Zr
5.614 5.614 5.614 Sc
2.807 2.807 2.807 Ga
4.678 4.678 2.807 Ga
4.678 2.807 4.678 Ga
2.807 4.678 4.678 Ga
```

Results
The calculation puts the calculated formation energy at -0.49 eV/atom. The value obtained for the energy above the most stable polymorph in this dataset is 15 kJ/mol of formula units.

***

2.
Here is an optimized crystal structure of ZrScGa from Alexandria via LeMat-Bulk. Energies are from PBE.

POSCAR file:
```
ZrScGa
1.0
3.161 0.000 0.000
0.000 3.864 0.000
0.000 0.000 10.074
Zr Sc Ga
2 2 2
Cartesian
0.000 0.000 0.000 Zr
1.580 1.932 5.037 Zr
0.000 0.000 6.956 Sc
1.580 1.932 1.919 Sc
0.000 0.000 3.457 Ga
1.580 1.932 8.494 Ga
```

Results
The calculation puts the calculated formation energy at -0.33 eV/atom. The value obtained for the energy above the most stable polymorph in this dataset is 30 kJ/mol of formula units.

***

3.
Here is an optimized crystal structure of ZrScGa from Alexandria via LeMat-Bulk. Energies are from PBE.

POSCAR file:
```
ZrScGa
1.0
3.218 0.000 0.000
0.000 3.218 0.000
0.000 0.000 11.985
Zr Sc Ga
2 2 2
Cartesian
0.000 0.000 0.000 Zr
1.609 1.609 5.993 Zr
0.000 0.000 3.762 Sc
1.609 1.609 9.755 Sc
0.000 0.000 7.876 Ga
1.609 1.609 1.883 Ga
```

Results
The calculation puts the calculated formation energy at -0.39 eV/atom. The value obtained for the energy above the most stable polymorph in this dataset is 11 kJ/mol of formula units.

***

4.
Here is an optimized crystal structure of ZrScGa3 from Alexandria via LeMat-Bulk. Energies are from PBE.

POSCAR file:
```
ZrScGa3
1.0
4.900 0.000 0.000
0.000 4.900 0.000
0.000 0.000 4.900
Zr Sc Ga
1 1 3
Cartesian
0.000 0.000 0.000 Zr
2.450 2.450 2.450 Sc
0.000 2.450 2.450 Ga
2.450 0.000 2.450 Ga
2.450 2.450 0.000 Ga
```

Results
The calculation puts the calculated formation energy at 0.54 eV/atom. The value obtained for the energy above the most stable polymorph in this dataset is 531 kJ/mol of formula units.

***

5.
Here is an optimized crystal structure of ZrSc4Ga5 from Alexandria via LeMat-Bulk. Energies are from PBE.

POSCAR file:
```
ZrSc4Ga5
1.0
3.121 0.000 0.000
0.000 3.121 0.000
0.000 0.000 19.355
Zr Sc Ga
1 4 5
Cartesian
0.000 0.000 0.000 Zr
0.000 0.000 3.912 Sc
0.000 0.000 7.751 Sc
0.000 0.000 11.605 Sc
0.000 0.000 15.443 Sc
1.561 1.561 1.966 Ga
1.561 1.561 5.832 Ga
1.561 1.561 9.678 Ga
1.561 1.561 13.523 Ga
1.561 1.561 17.389 Ga
```

Results
The calculation puts the calculated formation energy at -0.57 eV/atom.

***

6.
Here is an optimized crystal structure of ZrScGa3 from Alexandria via LeMat-Bulk. Energies are from PBE.

POSCAR file:
```
ZrScGa3
1.0
6.742 0.000 0.000
0.000 6.742 0.000
0.000 0.000 8.209
Zr Sc Ga
4 4 12
Cartesian
1.161 1.161 0.000 Zr
2.210 4.532 4.104 Zr
4.532 2.210 4.104 Zr
5.581 5.581 0.000 Zr
1.170 1.170 4.104 Sc
2.201 4.541 0.000 Sc
4.541 2.201 0.000 Sc
5.572 5.572 4.104 Sc
0.000 3.371 2.052 Ga
0.000 3.371 6.157 Ga
0.875 5.867 2.058 Ga
0.875 5.867 6.151 Ga
2.496 2.496 2.046 Ga
2.496 2.496 6.162 Ga
3.371 0.000 2.052 Ga
3.371 0.000 6.157 Ga
4.246 4.246 2.046 Ga
4.246 4.246 6.162 Ga
5.867 0.875 2.058 Ga
5.867 0.875 6.151 Ga
```

Results
The calculation puts the calculated formation energy at -0.56 eV/atom. The value obtained for the energy above the most stable polymorph in this dataset is 0 kJ/mol of formula units.

***

7.
Here is an optimized crystal structure of Zr3ScGa from Alexandria via LeMat-Bulk. Energies are from PBE.

POSCAR file:
```
Zr3ScGa
1.0
5.076 0.000 0.000
0.000 5.076 0.000
0.000 0.000 5.076
Zr Sc Ga
3 1 1
Cartesian
0.000 0.000 2.538 Zr
0.000 2.538 0.000 Zr
2.538 0.000 0.000 Zr
2.538 2.538 2.538 Sc
0.000 0.000 0.000 Ga
```

Results
The calculation puts the calculated formation energy at 0.41 eV/atom. The value obtained for the energy above the most stable polymorph in this dataset is 0 kJ/mol of formula units.

***

8.
Here is an optimized crystal structure of Zr5ScGa3 from Alexandria via LeMat-Bulk. Energies are from PBE.

POSCAR file:
```
Zr5ScGa3
1.0
8.441 0.000 0.000
-4.221 7.310 0.000
0.000 0.000 5.896
Zr Sc Ga
10 2 6
Cartesian
-1.411 2.444 1.474 Zr
-2.810 4.867 4.422 Zr
0.000 4.874 0.000 Zr
0.000 4.874 2.948 Zr
2.822 0.000 1.474 Zr
1.411 2.444 4.422 Zr
5.619 0.000 4.422 Zr
2.810 4.867 1.474 Zr
4.221 2.437 0.000 Zr
4.221 2.437 2.948 Zr
0.000 0.000 0.000 Sc
0.000 0.000 2.948 Sc
-1.410 2.442 4.422 Ga
-2.811 4.869 1.474 Ga
2.819 0.000 4.422 Ga
1.410 2.442 1.474 Ga
5.622 0.000 1.474 Ga
2.811 4.869 4.422 Ga
```

Results
The calculation puts the calculated formation energy at -0.44 eV/atom.

***

9.
Here is an optimized crystal structure of ZrScGa from Alexandria via LeMat-Bulk. Energies are from PBE.

POSCAR file:
```
ZrScGa
1.0
5.692 0.000 0.000
0.000 6.356 0.000
0.000 0.000 6.966
Zr Sc Ga
4 4 4
Cartesian
1.423 0.983 0.000 Zr
1.423 2.195 3.483 Zr
4.269 4.161 3.483 Zr
4.269 5.373 0.000 Zr
1.423 4.139 1.122 Sc
1.423 5.396 4.605 Sc
4.269 0.961 4.605 Sc
4.269 2.217 1.122 Sc
0.000 0.000 2.272 Ga
0.000 3.178 5.755 Ga
2.846 0.000 2.272 Ga
2.846 3.178 5.755 Ga
```

Results
The calculation puts the calculated formation energy at -0.39 eV/atom. The value obtained for the energy above the most stable polymorph in this dataset is 12 kJ/mol of formula units.

***

10.
Here is an optimized crystal structure of ZrScGa3 from Alexandria via LeMat-Bulk. Energies are from PBE.

POSCAR file:
```
ZrScGa3
1.0
5.052 0.000 0.000
0.000 5.052 0.000
0.000 0.000 5.052
Zr Sc Ga
1 1 3
Cartesian
0.000 0.000 0.000 Zr
2.526 2.526 2.526 Sc
0.000 0.000 2.526 Ga
0.000 2.526 0.000 Ga
2.526 0.000 0.000 Ga
```

Results
The calculation puts the calculated formation energy at 0.34 eV/atom. The value obtained for the energy above the most stable polymorph in this dataset is 432 kJ/mol of formula units.

***

11.
Here is an optimized crystal structure of Zr2ScGa9 from Alexandria via LeMat-Bulk. Energies are from PBE.

POSCAR file:
```
Zr2ScGa9
1.0
4.130 0.000 0.000
0.000 4.130 0.000
0.000 0.000 12.333
Zr Sc Ga
2 1 9
Cartesian
0.000 0.000 2.051 Zr
0.000 0.000 10.283 Zr
0.000 0.000 6.167 Sc
0.000 2.065 0.000 Ga
0.000 2.065 4.127 Ga
0.000 2.065 8.207 Ga
2.065 0.000 0.000 Ga
2.065 0.000 4.127 Ga
2.065 0.000 8.207 Ga
2.065 2.065 2.062 Ga
2.065 2.065 6.167 Ga
2.065 2.065 10.271 Ga
```

Results
The calculation puts the calculated formation energy at -0.47 eV/atom.

***

12.
Here is an optimized crystal structure of ZrScGa4 from Alexandria via LeMat-Bulk. Energies are from PBE.

POSCAR file:
```
ZrScGa4
1.0
4.154 0.000 0.000
0.000 5.159 0.000
0.000 0.000 10.521
Zr Sc Ga
2 2 8
Cartesian
0.000 0.000 0.000 Zr
2.077 2.579 0.000 Zr
0.000 2.579 5.261 Sc
2.077 0.000 5.261 Sc
0.000 0.000 3.381 Ga
0.000 0.000 7.140 Ga
0.000 2.579 1.858 Ga
0.000 2.579 8.663 Ga
2.077 0.000 1.858 Ga
2.077 0.000 8.663 Ga
2.077 2.579 3.381 Ga
2.077 2.579 7.140 Ga
```

Results
The calculation puts the calculated formation energy at -0.36 eV/atom. The value obtained for the energy above the most stable polymorph in this dataset is 90 kJ/mol of formula units.

***

13.
Here is an optimized crystal structure of Zr6Sc16Ga7 from Alexandria via LeMat-Bulk. Energies are from PBE.

POSCAR file:
```
Zr6Sc16Ga7
1.0
0.000 6.856 6.856
6.856 0.000 6.856
6.856 6.856 0.000
Zr Sc Ga
6 16 7
Cartesian
6.856 6.856 2.237 Zr
6.856 2.237 6.856 Zr
11.475 6.856 6.856 Zr
2.237 6.856 6.856 Zr
6.856 11.475 6.856 Zr
6.856 6.856 11.475 Zr
8.464 5.247 5.247 Sc
2.190 2.190 2.190 Sc
4.666 4.666 2.190 Sc
4.666 2.190 4.666 Sc
5.247 5.247 5.247 Sc
8.464 8.464 5.247 Sc
8.464 5.247 8.464 Sc
11.522 9.046 9.046 Sc
2.190 4.666 4.666 Sc
5.247 8.464 5.247 Sc
5.247 5.247 8.464 Sc
8.464 8.464 8.464 Sc
9.046 11.522 9.046 Sc
9.046 9.046 11.522 Sc
11.522 11.522 11.522 Sc
5.247 8.464 8.464 Sc
3.428 3.428 0.000 Ga
3.428 0.000 3.428 Ga
6.856 3.428 3.428 Ga
0.000 3.428 3.428 Ga
3.428 6.856 3.428 Ga
3.428 3.428 6.856 Ga
6.856 6.856 6.856 Ga
```

Results
The calculation puts the calculated formation energy at -0.22 eV/atom.

***

14.
Here is an optimized crystal structure of ZrScGa from Alexandria via LeMat-Bulk. Energies are from PBE.

POSCAR file:
```
ZrScGa
1.0
4.411 0.000 0.000
0.000 5.974 0.000
0.000 0.000 9.479
Zr Sc Ga
4 4 4
Cartesian
0.000 1.452 0.000 Zr
0.000 4.523 0.000 Zr
2.205 1.535 4.740 Zr
2.205 4.439 4.740 Zr
0.000 0.000 3.033 Sc
0.000 0.000 6.446 Sc
2.205 2.987 1.706 Sc
2.205 2.987 7.773 Sc
0.000 2.987 3.320 Ga
0.000 2.987 6.159 Ga
2.205 0.000 1.420 Ga
2.205 0.000 8.059 Ga
```

Results
The calculation puts the calculated formation energy at -0.37 eV/atom. The value obtained for the energy above the most stable polymorph in this dataset is 19 kJ/mol of formula units.

***

15.
Here is an optimized crystal structure of ZrSc3Ga3 from Alexandria via LeMat-Bulk. Energies are from PBE.

POSCAR file:
```
ZrSc3Ga3
1.0
8.332 0.000 0.000
0.000 8.332 0.000
0.000 0.000 8.332
Zr Sc Ga
4 12 12
Cartesian
0.537 3.629 4.704 Zr
3.629 4.704 0.537 Zr
4.704 0.537 3.629 Zr
7.795 7.795 7.795 Zr
0.614 4.781 7.718 Sc
1.470 1.470 1.470 Sc
1.467 6.865 2.699 Sc
2.699 1.467 6.865 Sc
2.696 6.862 5.636 Sc
3.552 3.552 3.552 Sc
4.781 7.718 0.614 Sc
5.636 2.696 6.862 Sc
5.633 5.633 5.633 Sc
6.865 2.699 1.467 Sc
6.862 5.636 2.696 Sc
7.718 0.614 4.781 Sc
8.332 2.113 7.234 Ga
0.000 6.280 5.264 Ga
1.098 4.166 2.053 Ga
2.053 1.098 4.166 Ga
2.113 7.234 8.332 Ga
3.068 4.167 6.219 Ga
4.166 2.053 1.098 Ga
4.167 6.219 3.068 Ga
5.264 0.000 6.280 Ga
6.219 3.068 4.167 Ga
6.280 5.264 0.000 Ga
7.234 8.332 2.113 Ga
```

Results
The calculation puts the calculated formation energy at -0.45 eV/atom. The value obtained for the energy above the most stable polymorph in this dataset is 0 kJ/mol of formula units.

***

16.
Here is an optimized crystal structure of ZrSc2Ga9 from Alexandria via LeMat-Bulk. Energies are from PBE.

POSCAR file:
```
ZrSc2Ga9
1.0
4.116 0.000 0.000
0.000 4.116 0.000
0.000 0.000 12.392
Zr Sc Ga
1 2 9
Cartesian
0.000 0.000 0.000 Zr
0.000 0.000 4.110 Sc
0.000 0.000 8.283 Sc
0.000 2.058 2.088 Ga
0.000 2.058 6.196 Ga
0.000 2.058 10.305 Ga
2.058 0.000 2.088 Ga
2.058 0.000 6.196 Ga
2.058 0.000 10.305 Ga
2.058 2.058 0.000 Ga
2.058 2.058 4.144 Ga
2.058 2.058 8.249 Ga
```

Results
The calculation puts the calculated formation energy at -0.49 eV/atom.

***

17.
Here is an optimized crystal structure of ZrScGa4 from Alexandria via LeMat-Bulk. Energies are from PBE.

POSCAR file:
```
ZrScGa4
1.0
4.315 0.000 0.000
0.000 6.581 0.000
0.000 0.000 7.505
Zr Sc Ga
2 2 8
Cartesian
0.000 0.000 0.000 Zr
2.158 3.291 3.753 Zr
0.000 3.291 0.000 Sc
2.158 0.000 3.753 Sc
0.000 1.606 2.506 Ga
0.000 1.606 4.999 Ga
0.000 4.976 2.506 Ga
0.000 4.976 4.999 Ga
2.158 1.685 1.247 Ga
2.158 1.685 6.259 Ga
2.158 4.897 1.247 Ga
2.158 4.897 6.259 Ga
```

Results
The calculation puts the calculated formation energy at -0.51 eV/atom. The value obtained for the energy above the most stable polymorph in this dataset is 0 kJ/mol of formula units.

***

18.
Here is an optimized crystal structure of ZrSc2Ga2 from Alexandria via LeMat-Bulk. Energies are from PBE.

POSCAR file:
```
ZrSc2Ga2
1.0
8.141 0.000 0.000
0.000 8.141 0.000
0.000 0.000 3.024
Zr Sc Ga
2 4 4
Cartesian
0.000 0.000 0.000 Zr
4.071 4.071 0.000 Zr
1.018 3.053 0.000 Sc
3.053 7.124 0.000 Sc
5.089 1.018 0.000 Sc
7.124 5.089 0.000 Sc
1.420 5.490 1.512 Ga
2.651 1.420 1.512 Ga
5.490 6.722 1.512 Ga
6.722 2.651 1.512 Ga
```

Results
The calculation puts the calculated formation energy at -0.31 eV/atom. The value obtained for the energy above the most stable polymorph in this dataset is 88 kJ/mol of formula units.

***

19.
Here is an optimized crystal structure of ZrScGa from Alexandria via LeMat-Bulk. Energies are from PBE.

POSCAR file:
```
ZrScGa
1.0
8.106 0.000 0.000
0.000 4.673 0.000
-0.010 0.000 6.729
Zr Sc Ga
4 4 4
Cartesian
1.349 0.000 0.759 Zr
2.694 2.337 5.970 Zr
5.402 2.337 0.759 Zr
6.747 0.000 5.970 Zr
1.345 0.000 4.165 Sc
2.698 2.337 2.564 Sc
5.398 2.337 4.165 Sc
6.751 0.000 2.564 Sc
8.103 2.337 1.648 Ga
-0.007 2.337 5.081 Ga
4.050 0.000 1.648 Ga
4.046 0.000 5.081 Ga
```

Results
The calculation puts the calculated formation energy at -0.24 eV/atom. The value obtained for the energy above the most stable polymorph in this dataset is 55 kJ/mol of formula units.

***

20.
Here is an optimized crystal structure of Zr2Sc2Ga7 from Alexandria via LeMat-Bulk. Energies are from PBE.

POSCAR file:
```
Zr2Sc2Ga7
1.0
5.476 -4.703 0.000
5.476 4.703 0.000
-1.149 0.000 4.129
Zr Sc Ga
2 2 7
Cartesian
5.476 2.885 0.000 Zr
5.476 -2.885 0.000 Zr
1.918 0.000 2.977 Sc
7.886 0.000 1.152 Sc
-0.574 0.000 2.064 Ga
3.037 1.950 1.207 Ga
4.701 0.000 0.921 Ga
6.767 1.950 2.922 Ga
3.037 -1.950 1.207 Ga
5.103 0.000 3.208 Ga
6.767 -1.950 2.922 Ga
```

Results
The calculation puts the calculated formation energy at -0.33 eV/atom.

***

21.
Here is an optimized crystal structure of GaSe from Alexandria via LeMat-Bulk. Energies are from PBE.

POSCAR file:
```
GaSe
1.0
6.207 0.000 0.000
0.000 6.207 0.000
0.000 0.000 5.088
Ga Se
4 4
Cartesian
1.280 1.280 0.000 Ga
1.823 4.383 2.544 Ga
4.383 1.823 2.544 Ga
4.927 4.927 0.000 Ga
1.366 4.840 0.000 Se
1.737 1.737 2.544 Se
4.469 4.469 2.544 Se
4.840 1.366 0.000 Se
```

Results
The calculation puts the formation energy from raw total energies at -0.358 eV per atom.

***

22.
Here is an optimized crystal structure of GaSe4 from Alexandria via LeMat-Bulk. Energies are from PBE.

POSCAR file:
```
GaSe4
1.0
4.948 0.000 0.000
0.000 4.948 0.000
0.000 0.000 4.948
Ga Se
1 4
Cartesian
0.000 0.000 0.000 Ga
0.000 0.000 2.474 Se
0.000 2.474 0.000 Se
2.474 0.000 0.000 Se
2.474 2.474 2.474 Se
```

Results
The calculation puts the formation energy from raw total energies at 0.527 eV per atom.

***

| no. | total magnetic moment (Bohr magnetons per cell) |
| --- | --- |
| 1 | 0.0 |
| 2 | 0.6 |
| 3 | 0.0 |
| 4 | 0.0 |
| 5 | 0.1 |
| 6 | 0.0 |
| 7 | 0.0 |
| 8 | 1.8 |
| 9 | 0.0 |
| 10 | 0.0 |
| 11 | 0.0 |
| 12 | 0.0 |
| 13 | 3.5 |
| 14 | 0.0 |
| 15 | 0.0 |
| 16 | 0.0 |
| 17 | 0.0 |
| 18 | 0.0 |
| 19 | 0.0 |
| 20 | 0.0 |
| 21 | 0.0 |
| 22 | 0.0 |